No. 1
5
Lattice="4.440 0.000 0.000 0.000 4.440 0.000 0.000 0.000 4.440" Properties=species:S:1:pos:R:3 comment="Ge3AuO (PBE, optimized geometry)" energy_ev_per_cell=-22.09 pbc="T T T"
Ge 0.000 0.000 2.220
Ge 0.000 2.220 0.000
Ge 2.220 0.000 0.000
Au 2.220 2.220 2.220
O 0.000 0.000 0.000



No. 2
5
Lattice="5.247 0.000 0.000 0.000 5.247 0.000 0.000 0.000 5.459" Properties=species:S:1:pos:R:3 comment="MnInAs2Br (PBE, optimized geometry)" energy_ev_per_cell=-18.78 pbc="T T T"
Mn 0.000 0.000 0.000
In 2.624 2.624 2.729
As 0.000 2.624 2.729
As 2.624 0.000 2.729
Br 2.624 2.624 0.000



Size of the total moment? In order: 0.000 4.034 μB/cell.